VASP calculation (PBE) on Th2PtRh2 after structural relaxation.

It has space group P4/mbm (No. 127), with a = 7.541 Å, b = 7.541 Å, c = 3.775 Å, α = 90.00°, β = 90.00° and γ = 90.00°. The inequivalent atoms are Th at (0.177, 0.323, 0.000), Pt at (0.000, 0.000, 0.500) and Rh at (0.133, 0.633, 0.500).

As for the electronic total energy: -8.100 eV/atom. The value obtained for the spin magnetization is 0.000 μB/atom.


VASP calculation (PBE) on Th3Pt2Rh after structural relaxation.

It has space group Immm (No. 71), with a = 4.156 Å, b = 5.896 Å, c = 12.560 Å, α = 90.00°, β = 90.00° and γ = 90.00°. The inequivalent atoms are Th at (0.000, 0.000, 0.000), Th at (0.000, 0.000, 0.339), Pt at (0.000, 0.500, 0.332) and Rh at (0.000, 0.500, 0.000).

As for the electronic total energy: -8.062 eV/atom. The value obtained for the spin magnetization is 0.000 μB/atom.


VASP calculation (PBE) on ThTlPtRh after structural relaxation.

It has space group F-43m (No. 216), with a = 6.977 Å, b = 6.977 Å, c = 6.977 Å, α = 90.00°, β = 90.00° and γ = 90.00°. The inequivalent atoms are Th at (0.000, 0.000, 0.000), Tl at (0.000, 0.000, 0.500), Pt at (0.250, 0.250, 0.250) and Rh at (0.250, 0.250, 0.750).

As for the electronic total energy: -6.394 eV/atom. The value obtained for the spin magnetization is 0.000 μB/atom.


| no. | DOS at the Fermi energy (states/eV per atom) | E_form (meV per atom) |
| --- | --- | --- |
| 1 | 0.768 | -983 |
| 2 | 0.473 | -1113 |
| 3 | 0.655 | -600 |